Entry from Alexandria via LeMat-Bulk: an optimized crystal structure of PrSmCdTc (PBE).

Cell lengths 7.3393, 7.3393, 7.3393 Å; angles 90.00, 90.00, 90.00 degrees
Last column: nearest neighbours and their distance in Å.
Space group F-43m (No. 216)
Inequivalent atoms, fractional coordinates:
Pr 0.0000 0.0000 0.0000 (multiplicity 4)  4 Cd 3.18, 4 Tc 3.18
Sm 0.0000 0.0000 0.5000 (multiplicity 4)  4 Cd 3.18, 4 Tc 3.18
Cd 0.2500 0.2500 0.2500 (multiplicity 4)  4 Pr 3.18, 4 Sm 3.18
Tc 0.2500 0.2500 0.7500 (multiplicity 4)  4 Pr 3.18, 4 Sm 3.18

Values from the calculation:
As for the calculated formation energy: 0.017 eV/atom. The magnetic moment comes out at 0.00 μB per formula unit. The density of states at the Fermi level is 1.87 states/eV/f.u. The volume comes out at 395.3 Å³ per cell.

---

Entry from Alexandria via LeMat-Bulk: an optimized crystal structure of MgCoW2 (PBE).

Cell lengths 2.7803, 2.7803, 27.6693 Å; angles 90.00, 90.00, 120.00 degrees
Last column: nearest neighbours and their distance in Å.
Space group R-3m (No. 166, hexagonal axes)
Inequivalent atoms, fractional coordinates:
Mg 0.0000 0.0000 0.0000 (multiplicity 3)  6 Mg 2.78, 6 W 3.00
Co 0.0000 0.0000 0.5000 (multiplicity 3)  6 W 2.63, 6 Co 2.78
W 0.0000 0.0000 0.2419 (multiplicity 6)  3 Co 2.63, 6 W 2.78

Values from the calculation:
As for the calculated formation energy: 0.422 eV/atom. The magnetic moment comes out at 0.67 μB per formula unit. The density of states at the Fermi level is 4.85 states/eV/f.u. The volume comes out at 185.2 Å³ per cell.

---

Entry from Alexandria via LeMat-Bulk: an optimized crystal structure of YBeFe2 (PBE).

Cell lengths 5.3102, 8.6201, 2.9095 Å; angles 90.00, 117.64, 90.00 degrees
Last column: nearest neighbours and their distance in Å.
Space group C2/m (No. 12)
Inequivalent atoms, fractional coordinates:
Y 0.0000 0.0000 0.0000 (multiplicity 2)  4 Fe 2.59, 4 Be 2.66-2.89
Be 0.0000 0.5000 0.0000 (multiplicity 2)  4 Fe 2.59, 4 Y 2.66-2.89
Fe 0.2500 0.2500 0.5000 (multiplicity 4)  2 Be 2.59, 2 Y 2.59, 4 Fe 2.66-2.89

Values from the calculation:
As for the calculated formation energy: 0.504 eV/atom. The magnetic moment comes out at 3.63 μB per formula unit. The density of states at the Fermi level is 3.37 states/eV/f.u. The volume comes out at 118.0 Å³ per cell.